# BaAg2RuCl8 | the Alexandria database | PBE | optimized geometry
data_BaAg2RuCl8
_chemical_formula_sum 'Ba1 Ag2 Ru1 Cl8'
_cell_length_a 6.308
_cell_length_b 7.072
_cell_length_c 8.633
_cell_angle_alpha 68.62
_cell_angle_beta 89.36
_cell_angle_gamma 82.16
_space_group_name_H-M_alt 'P -1'
_space_group_IT_number 2
loop_
_space_group_symop_operation_xyz
'x,y,z'
'-x,-y,-z'
loop_
_atom_site_label
_atom_site_type_symbol
_atom_site_fract_x
_atom_site_fract_y
_atom_site_fract_z
Ba1 Ba 0.000 0.000 0.000
Ag1 Ag 0.482 0.334 0.211
Ru1 Ru 0.000 0.000 0.500
Cl1 Cl 0.076 0.246 0.237
Cl2 Cl 0.148 0.189 0.636
Cl3 Cl 0.332 0.807 0.507
Cl4 Cl 0.448 0.734 0.063
# Calculated volume: 355 Å³/cell
# Raw formation energy: -0.957 eV/atom
# Total moment: 2.0 Bohr magnetons per cell
# Raw total energy: -3.597 eV per atom